[1]
Sm3Ho8Er3 | PBE | optimized geometry

Cell lengths 9.596, 9.596, 9.596 Å; angles 146.04, 111.78, 78.43 degrees
Positions (direct):
1 Sm 0.000 0.000 0.000
2 Sm 0.182 0.682 0.500
3 Sm 0.818 0.318 0.500
4 Ho 0.119 0.279 0.840
5 Ho 0.239 0.897 0.342
6 Ho 0.438 0.279 0.160
7 Ho 0.445 0.103 0.342
8 Ho 0.555 0.897 0.658
9 Ho 0.562 0.721 0.840
10 Ho 0.761 0.103 0.658
11 Ho 0.881 0.721 0.160
12 Er 0.205 0.500 0.705
13 Er 0.500 0.500 0.000
14 Er 0.795 0.500 0.295

Calculated values
E_tot   -4.494 eV/atom
Energy relative to the elements   0.11 eV/atom
Symmetry   Immm, No. 71
N(E_F)   21.9 states/eV per cell
Crystal system   orthorhombic

---

[2]
La6CuIr2Cl3 | PBE | optimized geometry

Cell lengths 9.932, 9.932, 9.011 Å; angles 108.77, 108.77, 24.58 degrees
Positions (direct):
1 La 0.011 0.011 0.235
2 La 0.321 0.321 0.444
3 La 0.340 0.340 0.890
4 La 0.660 0.660 0.110
5 La 0.679 0.679 0.556
6 La 0.989 0.989 0.765
7 Cu 0.500 0.500 0.000
8 Ir 0.165 0.165 0.329
9 Ir 0.835 0.835 0.671
10 Cl 0.165 0.165 0.835
11 Cl 0.500 0.500 0.500
12 Cl 0.835 0.835 0.165

Calculated values
Uncorrected formation energy   -13.946 eV/f.u.
E_tot   -5.906 eV/atom
Symmetry   C2/m, No. 12
N(E_F)   9.4 states/eV per cell
Crystal system   monoclinic

---

[3]
K2GeTe4 | PBE | optimized geometry

Cell lengths 12.865, 8.650, 10.296 Å; angles 90.00, 104.47, 90.00 degrees
Positions (direct):
1 K 0.045 0.063 0.211
2 K 0.045 0.437 0.711
3 K 0.343 0.071 0.699
4 K 0.343 0.429 0.199
5 K 0.657 0.571 0.801
6 K 0.657 0.929 0.301
7 K 0.955 0.563 0.289
8 K 0.955 0.937 0.789
9 Ge 0.256 0.644 0.535
10 Ge 0.256 0.856 0.035
11 Ge 0.744 0.144 0.965
12 Ge 0.744 0.356 0.465
13 Te 0.112 0.652 0.025
14 Te 0.112 0.848 0.525
15 Te 0.203 0.138 0.962
16 Te 0.203 0.362 0.462
17 Te 0.349 0.528 0.775
18 Te 0.349 0.972 0.275
19 Te 0.429 0.735 0.454
20 Te 0.429 0.765 0.954
21 Te 0.571 0.235 0.046
22 Te 0.571 0.265 0.546
23 Te 0.651 0.028 0.725
24 Te 0.651 0.472 0.225
25 Te 0.797 0.638 0.538
26 Te 0.797 0.862 0.038
27 Te 0.888 0.152 0.475
28 Te 0.888 0.348 0.975

Calculated values
Uncorrected formation energy   -3.870 eV/f.u.
E_tot   -3.321 eV/atom
Symmetry   P2_1/c, No. 14
Crystal system   monoclinic

---

[4]
LiInOs | PBE | optimized geometry

Cell lengths 6.800, 6.800, 6.800 Å; angles 156.21, 156.21, 33.89 degrees
Positions (direct):
1 Li 0.000 0.000 0.000
2 In 0.315 0.315 0.000
3 Os 0.650 0.650 0.000

Calculated values
E_tot   -4.863 eV/atom
Energy relative to the elements   0.43 eV/atom
Symmetry   I4mm, No. 107
Offset from the most stable computed form   0.58 eV per formula unit
N(E_F)   2.3 states/eV per cell
Crystal system   tetragonal

---

[5]
NdYI3 | PBE | optimized geometry

Cell lengths 10.329, 10.329, 12.559 Å; angles 124.60, 124.60, 23.03 degrees
Positions (direct):
1 Nd 0.134 0.134 0.278
2 Nd 0.866 0.866 0.722
3 Y 0.434 0.434 0.038
4 Y 0.566 0.566 0.962
5 I 0.034 0.034 0.749
6 I 0.210 0.210 0.118
7 I 0.334 0.334 0.494
8 I 0.666 0.666 0.506
9 I 0.790 0.790 0.882
10 I 0.966 0.966 0.251

Calculated values
Uncorrected formation energy   -5.652 eV/f.u.
E_tot   -4.307 eV/atom
Symmetry   C2/m, No. 12
Offset from the most stable computed form   0.00 eV per formula unit
N(E_F)   1.2 states/eV per cell
Crystal system   monoclinic

---

[6]
CrCoNi2Te6 | PBE | optimized geometry

Cell lengths 9.988, 9.988, 5.409 Å; angles 104.15, 104.15, 105.45 degrees
Positions (direct):
1 Cr 0.152 0.848 0.750
2 Cr 0.848 0.152 0.250
3 Co 0.170 0.830 0.250
4 Co 0.830 0.170 0.750
5 Ni 0.290 0.461 0.885
6 Ni 0.461 0.290 0.385
7 Ni 0.539 0.710 0.615
8 Ni 0.710 0.539 0.115
9 Te 0.070 0.216 0.682
10 Te 0.115 0.610 0.867
11 Te 0.216 0.070 0.182
12 Te 0.317 0.472 0.405
13 Te 0.390 0.885 0.633
14 Te 0.472 0.317 0.905
15 Te 0.528 0.683 0.095
16 Te 0.610 0.115 0.367
17 Te 0.683 0.528 0.595
18 Te 0.784 0.930 0.818
19 Te 0.885 0.390 0.133
20 Te 0.930 0.784 0.318

Calculated values
Uncorrected formation energy   -0.635 eV/f.u.
E_tot   -4.778 eV/atom
Symmetry   C2/c, No. 15
N(E_F)   13.8 states/eV per cell
Crystal system   monoclinic

---

[7]
TmPuBi2O8 | PBE | optimized geometry

Cell lengths 5.246, 5.246, 6.946 Å; angles 90.00, 90.00, 90.07 degrees
Positions (direct):
1 Tm 0.000 0.000 0.000
2 Pu 0.000 0.000 0.500
3 Bi 0.500 0.500 0.240
4 Bi 0.500 0.500 0.760
5 O 0.180 0.180 0.266
6 O 0.180 0.180 0.734
7 O 0.258 0.742 0.500
8 O 0.304 0.696 0.000
9 O 0.696 0.304 0.000
10 O 0.742 0.258 0.500
11 O 0.820 0.820 0.266
12 O 0.820 0.820 0.734

Calculated values
Uncorrected formation energy   -25.508 eV/f.u.
E_tot   -7.645 eV/atom
Symmetry   Cmmm, No. 65
Crystal system   orthorhombic

---

[8]
SrZrAu3 | PBE | optimized geometry

Cell lengths 5.289, 5.289, 5.289 Å; angles 90.00, 90.00, 90.00 degrees
Positions (direct):
1 Sr 0.000 0.000 0.000
2 Zr 0.500 0.500 0.500
3 Au 0.000 0.500 0.500
4 Au 0.500 0.000 0.500
5 Au 0.500 0.500 0.000

Calculated values
E_tot   -4.167 eV/atom
Energy relative to the elements   -0.15 eV/atom
Symmetry   Pm-3m, No. 221
Offset from the most stable computed form   0.00 eV per formula unit
N(E_F)   4.3 states/eV per cell
Crystal system   cubic

---

[9]
Cd3RhN | PBE | optimized geometry

Cell lengths 4.489, 4.489, 4.489 Å; angles 90.00, 90.00, 90.00 degrees
Positions (direct):
1 Cd 0.000 0.000 0.500
2 Cd 0.000 0.500 0.000
3 Cd 0.500 0.000 0.000
4 Rh 0.500 0.500 0.500
5 N 0.000 0.000 0.000

Calculated values
Uncorrected formation energy   2.857 eV/f.u.
E_tot   -3.113 eV/atom
Symmetry   Pm-3m, No. 221
Offset from the most stable computed form   0.00 eV per formula unit
N(E_F)   2.7 states/eV per cell
Crystal system   cubic

---

[10]
Zr2N2O | PBE | optimized geometry

Cell lengths 7.091, 7.091, 16.624 Å; angles 99.94, 99.94, 27.15 degrees
Positions (direct):
1 Zr 0.000 0.000 0.000
2 Zr 0.002 0.002 0.503
3 Zr 0.062 0.062 0.308
4 Zr 0.070 0.070 0.809
5 Zr 0.335 0.335 0.836
6 Zr 0.338 0.338 0.340
7 Zr 0.396 0.396 0.666
8 Zr 0.401 0.401 0.168
9 Zr 0.661 0.661 0.141
10 Zr 0.667 0.667 0.643
11 Zr 0.723 0.723 0.467
12 Zr 0.729 0.729 0.972
13 N 0.157 0.157 0.047
14 N 0.158 0.158 0.541
15 N 0.204 0.204 0.383
16 N 0.204 0.204 0.890
17 N 0.231 0.231 0.718
18 N 0.496 0.496 0.074
19 N 0.498 0.498 0.580
20 N 0.565 0.565 0.231
21 N 0.860 0.860 0.423
22 N 0.860 0.860 0.919
23 N 0.904 0.904 0.260
24 N 0.910 0.910 0.758
25 O 0.242 0.242 0.212
26 O 0.531 0.531 0.404
27 O 0.535 0.535 0.898
28 O 0.564 0.564 0.734
29 O 0.817 0.817 0.595
30 O 0.822 0.822 0.093

Calculated values
Uncorrected formation energy   -9.942 eV/f.u.
E_tot   -9.729 eV/atom
Symmetry   Cm, No. 8
N(E_F)   0.0 states/eV per cell
Crystal system   monoclinic

---

[11]
KY4Ni | PBE | optimized geometry

Cell lengths 6.581, 6.581, 6.581 Å; angles 60.00, 60.00, 60.00 degrees
Positions (direct):
1 K 0.000 0.000 0.000
2 Y 0.377 0.377 0.377
3 Y 0.377 0.377 0.869
4 Y 0.377 0.869 0.377
5 Y 0.869 0.377 0.377
6 Ni 0.750 0.750 0.750

Calculated values
E_tot   -4.615 eV/atom
Energy relative to the elements   0.84 eV/atom
Symmetry   F-43m, No. 216
N(E_F)   8.9 states/eV per cell
Crystal system   cubic

---

[12]
ScCo2GeC | PBE | optimized geometry

Cell lengths 4.217, 4.217, 5.129 Å; angles 90.00, 90.00, 90.00 degrees
Positions (direct):
1 Sc 0.000 0.000 0.000
2 Co 0.000 0.500 0.500
3 Co 0.500 0.000 0.500
4 Ge 0.000 0.000 0.500
5 C 0.500 0.500 0.000

Calculated values
E_tot   -5.348 eV/atom
Energy relative to the elements   1.53 eV/atom
Symmetry   P4/mmm, No. 123
Offset from the most stable computed form   9.80 eV per formula unit
N(E_F)   4.9 states/eV per cell
Crystal system   tetragonal

---

Which of these has the highest E_tot?
Cd3RhN